--- i ---
The following is a PBE calculation of an optimized crystal structure of PmPrCuRh, from the Alexandria database.

Unit cell a=7.140 b=7.140 c=7.140 alpha=90.00 beta=90.00 gamma=90.00
Space group F-43m (No. 216)
Unique sites:
Pm1 0.000 0.000 0.000 (multiplicity 4)
Pr1 0.000 0.000 0.500 (multiplicity 4)
Cu1 0.250 0.250 0.750 (multiplicity 4)
Rh1 0.250 0.250 0.250 (multiplicity 4)

Output
Calculated volume, Å³/cell: 364.1
DOS(E_F), states/eV per cell: 16.77



--- ii ---
The following is a PBE calculation of an optimized crystal structure of PmPrCuRh, from the Alexandria database.

Unit cell a=4.471 b=3.942 c=10.692 alpha=90.00 beta=90.00 gamma=90.00
Space group Amm2 (No. 38)
Unique sites:
Pm1 0.000 0.000 0.000 (multiplicity 2)
Pr1 0.500 0.000 0.276 (multiplicity 2)
Cu1 0.000 0.000 0.709 (multiplicity 2)
Rh1 0.500 0.000 0.555 (multiplicity 2)

Output
Calculated volume, Å³/cell: 188.5
DOS(E_F), states/eV per cell: 5.78



Which is most stable, and by how much? ii, by 0.059 eV/atom.



--- i ---
The following is a PBE calculation of an optimized crystal structure of PmCu2Pt, from the Alexandria database.

Unit cell a=4.059 b=4.059 c=4.388 alpha=90.00 beta=90.00 gamma=90.00
Space group P4/mmm (No. 123)
Unique sites:
Pm1 0.000 0.000 0.000 (multiplicity 1)
Cu1 0.000 0.500 0.500 (multiplicity 2)
Pt1 0.500 0.500 0.000 (multiplicity 1)

Output
Calculated volume, Å³/cell: 72.3
DOS(E_F), states/eV per cell: 2.14



--- ii ---
The following is a PBE calculation of an optimized crystal structure of PmCu2Pt, from the Alexandria database.

Unit cell a=7.879 b=6.989 c=5.351 alpha=90.00 beta=90.00 gamma=90.00
Space group Pnma (No. 62)
Unique sites:
Pm1 0.050 0.250 0.124 (multiplicity 4)
Cu1 0.175 0.061 0.597 (multiplicity 8)
Pt1 0.111 0.750 0.359 (multiplicity 4)

Output
Calculated volume, Å³/cell: 294.6
DOS(E_F), states/eV per cell: 8.44



--- iii ---
The following is a PBE calculation of an optimized crystal structure of PmCu2Pt, from the Alexandria database.

Unit cell a=6.538 b=6.538 c=6.538 alpha=90.00 beta=90.00 gamma=90.00
Space group Fm-3m (No. 225)
Unique sites:
Pm1 0.000 0.000 0.000 (multiplicity 4)
Cu1 0.250 0.250 0.250 (multiplicity 8)
Pt1 0.000 0.000 0.500 (multiplicity 4)

Output
Calculated volume, Å³/cell: 279.5
DOS(E_F), states/eV per cell: 11.14



Which is most stable, and by how much? ii, by 0.134 eV/atom.